A relaxed structure of CrI2OF. Source: Alexandria via LeMat-Bulk, functional PBE+U.

Output
The raw total energy comes out at -0.18461 Ry/atom. The calculation puts the total moment at 2.04 μB per cell. The calculation puts the offset from the most stable computed form at 1.427 eV per atom.

CIF file:
```
data_CrI2OF
_symmetry_space_group_name_H-M 'P 4/m m m'
_symmetry_Int_Tables_number 123
_symmetry_space_group_name_Hall '-P 4 2'
_cell_length_a 5.165
_cell_length_b 5.165
_cell_length_c 3.934
_cell_angle_alpha 90.00
_cell_angle_beta 90.00
_cell_angle_gamma 90.00
loop_
_atom_site_label
_atom_site_fract_x
_atom_site_fract_y
_atom_site_fract_z
_atom_site_occupancy
Cr1 0.000 0.000 0.000 1
I1 0.000 0.500 0.500 1
O1 0.500 0.500 0.000 1
F1 0.500 0.500 0.500 1
```